The following is a DFT calculation (PBE) of crystalline NaGdRe at its relaxed geometry.

Cell lengths 4.6701, 4.6701, 4.6701 Å; angles 60.00, 60.00, 60.00 degrees
Last column: nearest neighbours and their distance in Å.
Fractional coordinates of all 3 atoms:
Na1 0.0000 0.0000 0.0000  4 Gd 2.86, 4 Re 2.86
Gd1 0.7500 0.7500 0.7500  4 Na 2.86
Re1 0.2500 0.2500 0.2500  4 Na 2.86

## Properties
symmetry: F-43m
offset from the most stable computed form: 5.5 kJ/mol of formula units
total moment: 1.4 μB per cell



The following is a DFT calculation (PBE) of crystalline NaGdRe at its relaxed geometry.

Cell lengths 4.7957, 4.7957, 4.7957 Å; angles 60.00, 60.00, 60.00 degrees
Last column: nearest neighbours and their distance in Å.
Fractional coordinates of all 3 atoms:
Na1 0.0000 0.0000 0.0000  4 Gd 2.94
Gd1 0.2500 0.2500 0.2500  4 Re 2.94, 4 Na 2.94
Re1 0.5000 0.5000 0.5000  4 Gd 2.94

## Properties
symmetry: F-43m
offset from the most stable computed form: 0.0 kJ/mol of formula units
total moment: 1.4 μB per cell



The following is a DFT calculation (PBE) of crystalline NaSrGdS3 at its relaxed geometry.

Cell lengths 13.8423, 4.1223, 11.7479 Å; angles 90.00, 90.00, 90.00 degrees
Last column: nearest neighbours and their distance in Å.
Fractional coordinates of all 24 atoms:
Na1 0.0195 0.2500 0.0860  4 S 2.54-2.77
Na2 0.4805 0.7500 0.5860  4 S 2.54-2.77
Na3 0.5195 0.2500 0.4140  4 S 2.54-2.77
Na4 0.9805 0.7500 0.9140  4 S 2.54-2.77
Sr1 0.2491 0.7500 0.9427  5 S 2.78-3.05
Sr2 0.2509 0.2500 0.4427  5 S 2.78-3.05
Sr3 0.7491 0.7500 0.5573  5 S 2.78-3.05
Sr4 0.7509 0.2500 0.0573  5 S 2.78-3.05
Gd1 0.0059 0.2500 0.6556  6 S 2.73-2.90
Gd2 0.4941 0.7500 0.1556  6 S 2.73-2.90
Gd3 0.5059 0.2500 0.8444  6 S 2.73-2.90
Gd4 0.9941 0.7500 0.3444  6 S 2.73-2.90
S1 0.1049 0.2500 0.8730  3 Na 2.73-2.77, 1 Gd 2.90, 2 Sr 2.98
S2 0.1091 0.2500 0.2747  1 Na 2.54, 2 Gd 2.73, 1 Sr 2.78
S3 0.1139 0.7500 0.5454  3 Gd 2.86-2.89, 2 Sr 3.05
S4 0.3861 0.2500 0.0454  3 Gd 2.86-2.89, 2 Sr 3.05
S5 0.3909 0.7500 0.7747  1 Na 2.54, 2 Gd 2.73, 1 Sr 2.78
S6 0.3951 0.7500 0.3730  3 Na 2.73-2.77, 1 Gd 2.90, 2 Sr 2.98
S7 0.6049 0.2500 0.6270  3 Na 2.73-2.77, 1 Gd 2.90, 2 Sr 2.98
S8 0.6091 0.2500 0.2253  1 Na 2.54, 2 Gd 2.73, 1 Sr 2.78
S9 0.6139 0.7500 0.9546  3 Gd 2.86-2.89, 2 Sr 3.05
S10 0.8861 0.2500 0.4546  3 Gd 2.86-2.89, 2 Sr 3.05
S11 0.8909 0.7500 0.7253  1 Na 2.54, 2 Gd 2.73, 1 Sr 2.78
S12 0.8951 0.7500 0.1270  3 Na 2.73-2.77, 1 Gd 2.90, 2 Sr 2.98

## Properties
symmetry: Pnma
offset from the most stable computed form: 69.9 kJ/mol of formula units
total moment: 0.0 μB per cell



The following is a DFT calculation (PBE) of crystalline NaSrGdS3 at its relaxed geometry.

Cell lengths 8.8344, 8.8344, 8.7143 Å; angles 104.57, 104.57, 26.37 degrees
Last column: nearest neighbours and their distance in Å.
Fractional coordinates of all 12 atoms:
Na1 0.0027 0.0027 0.2028  4 S 2.60-2.85
Na2 0.9973 0.9973 0.7972  4 S 2.60-2.85
Sr1 0.3649 0.3649 0.4340  7 S 3.02-3.21
Sr2 0.6351 0.6351 0.5660  7 S 3.02-3.21
Gd1 0.3337 0.3337 0.9114  6 S 2.76-2.83
Gd2 0.6663 0.6663 0.0886  6 S 2.76-2.83
S1 0.0000 0.0000 0.5000  2 Na 2.60
S2 0.1687 0.1687 0.8623  3 Gd 2.76-2.83, 1 Na 2.85
S3 0.1781 0.1781 0.3137  2 Gd 2.78, 1 Na 2.92, 1 Sr 3.11
S4 0.5000 0.5000 0.0000  4 Na 2.67, 2 Gd 2.76
S5 0.8219 0.8219 0.6863  2 Gd 2.78, 1 Na 2.92, 1 Sr 3.11
S6 0.8313 0.8313 0.1377  3 Gd 2.76-2.83, 1 Na 2.85

## Properties
symmetry: C2/m
offset from the most stable computed form: 0.0 kJ/mol of formula units
total moment: 0.0 μB per cell



The following is a DFT calculation (PBE) of crystalline NaGdTeS at its relaxed geometry.

Cell lengths 7.5160, 7.5160, 7.5160 Å; angles 32.59, 32.59, 32.59 degrees
Last column: nearest neighbours and their distance in Å.
Fractional coordinates of all 4 atoms:
Na1 0.0000 0.0000 0.0000  3 S 3.02, 3 Te 3.16
Gd1 0.4825 0.4825 0.4825  3 S 2.81, 3 Te 3.10
Te1 0.2389 0.2389 0.2389  3 Gd 3.10, 3 Na 3.16
S1 0.7503 0.7503 0.7503  3 Gd 2.81, 3 Na 3.02

## Properties
symmetry: R3m
VASP energy: -19.447 eV/f.u.
total moment: 0.0 μB per cell



The following is a DFT calculation (PBE) of crystalline NaGdZnS3 at its relaxed geometry.

Cell lengths 8.0154, 3.9636, 9.8289 Å; angles 90.00, 105.36, 90.00 degrees
Last column: nearest neighbours and their distance in Å.
Fractional coordinates of all 12 atoms:
Na1 0.1860 0.2500 0.1709  5 S 2.86-3.09
Na2 0.8140 0.7500 0.8291  5 S 2.86-3.09
Gd1 0.3291 0.7500 0.8500  6 S 2.74-2.86
Gd2 0.6709 0.2500 0.1500  6 S 2.74-2.86
Zn1 0.0758 0.2500 0.6064  4 S 2.33-2.41
Zn2 0.9242 0.7500 0.3936  4 S 2.33-2.41
S1 0.0832 0.2500 0.8450  1 Zn 2.33
S2 0.2121 0.7500 0.5492  3 Zn 2.40-2.41
S3 0.4317 0.7500 0.1406  3 Gd 2.74-2.75, 2 Na 2.86
S4 0.5683 0.2500 0.8594  3 Gd 2.74-2.75, 2 Na 2.86
S5 0.7879 0.2500 0.4508  3 Zn 2.40-2.41
S6 0.9168 0.7500 0.1550  1 Zn 2.33

## Properties
symmetry: P2_1/m
offset from the most stable computed form: 0.0 kJ/mol of formula units
total moment: 0.0 μB per cell



The following is a DFT calculation (PBE) of crystalline NaGdZnS3 at its relaxed geometry.

Cell lengths 6.7748, 6.7748, 10.6655 Å; angles 90.00, 90.00, 146.26 degrees
Last column: nearest neighbours and their distance in Å.
Fractional coordinates of all 12 atoms:
Na1 0.2484 0.7516 0.7500  6 S 3.00-3.09
Na2 0.7516 0.2484 0.2500  6 S 3.00-3.09
Gd1 0.0000 0.0000 0.0000  6 S 2.75-2.85
Gd2 0.0000 0.0000 0.5000  6 S 2.75-2.85
Zn1 0.4668 0.5332 0.2500  4 S 2.31-2.43
Zn2 0.5332 0.4668 0.7500  4 S 2.31-2.43
S1 0.0770 0.9230 0.2500  2 Zn 2.43
S2 0.3644 0.6356 0.0731  1 Zn 2.31
S3 0.3644 0.6356 0.4269  1 Zn 2.31
S4 0.6356 0.3644 0.5731  1 Zn 2.31
S5 0.6356 0.3644 0.9269  1 Zn 2.31
S6 0.9230 0.0770 0.7500  2 Zn 2.43

## Properties
symmetry: Cmcm
offset from the most stable computed form: 0.2 kJ/mol of formula units
total moment: 0.0 μB per cell



The following is a DFT calculation (PBE) of crystalline NaGdZnS3 at its relaxed geometry.

Cell lengths 11.1742, 3.9917, 11.4850 Å; angles 90.00, 90.00, 90.00 degrees
Last column: nearest neighbours and their distance in Å.
Fractional coordinates of all 24 atoms:
Na1 0.1540 0.2500 0.0060  5 S 2.89-2.94
Na2 0.3460 0.7500 0.5060  5 S 2.89-2.94
Na3 0.6540 0.2500 0.4940  5 S 2.89-2.94
Na4 0.8460 0.7500 0.9940  5 S 2.89-2.94
Gd1 0.0245 0.2500 0.6764  6 S 2.78-2.89
Gd2 0.4755 0.7500 0.1764  6 S 2.78-2.89
Gd3 0.5245 0.2500 0.8236  6 S 2.78-2.89
Gd4 0.9755 0.7500 0.3236  6 S 2.78-2.89
Zn1 0.2468 0.2500 0.2920  4 S 2.31-2.38
Zn2 0.2532 0.7500 0.7920  4 S 2.31-2.38
Zn3 0.7468 0.2500 0.2080  4 S 2.31-2.38
Zn4 0.7532 0.7500 0.7080  4 S 2.31-2.38
S1 0.0542 0.7500 0.8450  1 Zn 2.31
S2 0.1032 0.2500 0.4369  1 Zn 2.31
S3 0.2174 0.7500 0.1829  2 Zn 2.38
S4 0.2826 0.2500 0.6829  2 Zn 2.38
S5 0.3968 0.7500 0.9369  1 Zn 2.31
S6 0.4458 0.2500 0.3450  1 Zn 2.31
S7 0.5542 0.7500 0.6550  1 Zn 2.31
S8 0.6032 0.2500 0.0631  1 Zn 2.31
S9 0.7174 0.7500 0.3171  2 Zn 2.38
S10 0.7826 0.2500 0.8171  2 Zn 2.38
S11 0.8968 0.7500 0.5631  1 Zn 2.31
S12 0.9458 0.2500 0.1550  1 Zn 2.31

## Properties
symmetry: Pnma
offset from the most stable computed form: 1.2 kJ/mol of formula units
total moment: 0.0 μB per cell



The following is a DFT calculation (PBE) of crystalline NaGdSbSe3 at its relaxed geometry.

Cell lengths 7.6822, 7.6822, 10.6078 Å; angles 90.00, 90.00, 147.96 degrees
Last column: nearest neighbours and their distance in Å.
Fractional coordinates of all 12 atoms:
Na1 0.2403 0.7597 0.7500  2 Se 2.98
Na2 0.7597 0.2403 0.2500  2 Se 2.98
Gd1 0.0000 0.0000 0.0000  6 Se 2.96-3.17
Gd2 0.0000 0.0000 0.5000  6 Se 2.96-3.17
Sb1 0.4713 0.5287 0.2500  4 Se 2.72-3.03
Sb2 0.5287 0.4713 0.7500  4 Se 2.72-3.03
Se1 0.1177 0.8823 0.2500  2 Na 2.98, 2 Sb 3.03, 2 Gd 3.17
Se2 0.3633 0.6367 0.0425  1 Sb 2.72, 2 Gd 2.96
Se3 0.3633 0.6367 0.4575  1 Sb 2.72, 2 Gd 2.96
Se4 0.6367 0.3633 0.5425  1 Sb 2.72, 2 Gd 2.96
Se5 0.6367 0.3633 0.9575  1 Sb 2.72, 2 Gd 2.96
Se6 0.8823 0.1177 0.7500  2 Na 2.98, 2 Sb 3.03, 2 Gd 3.17

## Properties
symmetry: Cmcm
VASP energy: -25.686 eV/f.u.
total moment: 0.0 μB per cell



The following is a DFT calculation (PBE) of crystalline NaGdSbTe3 at its relaxed geometry.

Cell lengths 8.1449, 8.1449, 10.9672 Å; angles 90.00, 90.00, 148.81 degrees
Last column: nearest neighbours and their distance in Å.
Fractional coordinates of all 12 atoms:
Na1 0.2209 0.7791 0.7500  6 Te 3.27-3.41
Na2 0.7791 0.2209 0.2500  6 Te 3.27-3.41
Gd1 0.0000 0.0000 0.0000  6 Te 3.16-3.36, 4 Sb 3.53
Gd2 0.0000 0.0000 0.5000  6 Te 3.16-3.36, 4 Sb 3.53
Sb1 0.4754 0.5246 0.2500  4 Te 2.95-3.20
Sb2 0.5246 0.4754 0.7500  4 Te 2.95-3.20
Te1 0.1242 0.8758 0.2500  2 Sb 3.20, 2 Na 3.27, 2 Gd 3.36
Te2 0.3579 0.6421 0.0400  1 Sb 2.95, 2 Gd 3.16
Te3 0.3579 0.6421 0.4600  1 Sb 2.95, 2 Gd 3.16
Te4 0.6421 0.3579 0.5400  1 Sb 2.95, 2 Gd 3.16
Te5 0.6421 0.3579 0.9600  1 Sb 2.95, 2 Gd 3.16
Te6 0.8758 0.1242 0.7500  2 Sb 3.20, 2 Na 3.27, 2 Gd 3.36

## Properties
symmetry: Cmcm
VASP energy: -23.425 eV/f.u.
total moment: 0.0 μB per cell



The following is a DFT calculation (PBE) of crystalline NaGdSnSe3 at its relaxed geometry.

Cell lengths 8.0518, 8.0518, 11.5338 Å; angles 90.00, 90.00, 150.14 degrees
Last column: nearest neighbours and their distance in Å.
Fractional coordinates of all 12 atoms:
Na1 0.1360 0.8640 0.7500  2 Se 2.82
Na2 0.8640 0.1360 0.2500  2 Se 2.82
Gd1 0.5000 0.5000 0.0000  6 Se 2.88-2.91
Gd2 0.5000 0.5000 0.5000  6 Se 2.88-2.91
Sn1 0.1452 0.8548 0.2500  4 Se 2.80-2.96
Sn2 0.8548 0.1452 0.7500  4 Se 2.80-2.96
Se1 0.1281 0.8719 0.5055  1 Na 2.82, 2 Gd 2.88, 1 Sn 2.96
Se2 0.1281 0.8719 0.9945  1 Na 2.82, 2 Gd 2.88, 1 Sn 2.96
Se3 0.4760 0.5240 0.7500  2 Sn 2.80, 2 Gd 2.91
Se4 0.5240 0.4760 0.2500  2 Sn 2.80, 2 Gd 2.91
Se5 0.8719 0.1281 0.0055  1 Na 2.82, 2 Gd 2.88, 1 Sn 2.96
Se6 0.8719 0.1281 0.4945  1 Na 2.82, 2 Gd 2.88, 1 Sn 2.96

## Properties
symmetry: Cmcm
VASP energy: -27.078 eV/f.u.
total moment: 0.0 μB per cell



The following is a DFT calculation (PBE) of crystalline NaGdZnSe3 at its relaxed geometry.

Cell lengths 8.2777, 4.0979, 9.8510 Å; angles 90.00, 104.46, 90.00 degrees
Last column: nearest neighbours and their distance in Å.
Fractional coordinates of all 12 atoms:
Na1 0.2142 0.2500 0.2305  4 Se 2.99-3.07
Na2 0.7858 0.7500 0.7695  4 Se 2.99-3.07
Gd1 0.3191 0.7500 0.8568  6 Se 2.87-3.05
Gd2 0.6809 0.2500 0.1432  6 Se 2.87-3.05
Zn1 0.0813 0.2500 0.6024  4 Se 2.45-2.57
Zn2 0.9187 0.7500 0.3976  4 Se 2.45-2.57
Se1 0.0702 0.2500 0.8488  1 Zn 2.45
Se2 0.2249 0.7500 0.5374  3 Zn 2.53-2.57
Se3 0.4407 0.7500 0.1561  3 Gd 2.87-2.88, 2 Na 2.99
Se4 0.5593 0.2500 0.8439  3 Gd 2.87-2.88, 2 Na 2.99
Se5 0.7751 0.2500 0.4626  3 Zn 2.53-2.57
Se6 0.9298 0.7500 0.1512  1 Zn 2.45

## Properties
symmetry: P2_1/m
offset from the most stable computed form: 4.5 kJ/mol of formula units
total moment: 0.0 μB per cell